No. 1
{"formula": "CeGa3CuPd", "functional": "PBE", "state": "optimized geometry", "sg": "Cmcm, No. 63", "energy_ev_per_cell": -52.30, "lattice_angstrom": [[3.0794, -6.0700, 0.0000], [3.0794, 6.0700, 0.0000], [0.0000, 0.0000, 6.1366]], "species": ["Ce", "Ce", "Ga", "Ga", "Ga", "Ga", "Ga", "Ga", "Cu", "Cu", "Pd", "Pd"], "fractional_positions": [[0.2199, 0.7801, 0.7500], [0.7801, 0.2199, 0.2500], [0.2115, 0.2115, 0.0000], [0.2115, 0.2115, 0.5000], [0.3488, 0.6512, 0.2500], [0.6512, 0.3488, 0.7500], [0.7885, 0.7885, 0.0000], [0.7885, 0.7885, 0.5000], [0.4461, 0.5539, 0.7500], [0.5539, 0.4461, 0.2500], [0.1418, 0.8582, 0.2500], [0.8582, 0.1418, 0.7500]]}

No. 2
{"formula": "CeGa2CuPd4", "functional": "PBE", "state": "optimized geometry", "sg": "R-3m, No. 166", "energy_ev_per_cell": -41.61, "lattice_angstrom": [[2.1485, 1.2404, 8.6053], [-2.1485, 1.2404, 8.6053], [0.0000, -2.4808, 8.6053]], "species": ["Ce", "Ga", "Ga", "Cu", "Pd", "Pd", "Pd", "Pd"], "fractional_positions": [[0.0000, 0.0000, 0.0000], [0.2359, 0.2359, 0.2359], [0.7641, 0.7641, 0.7641], [0.5000, 0.5000, 0.5000], [0.1309, 0.1309, 0.1309], [0.4006, 0.4006, 0.4006], [0.5994, 0.5994, 0.5994], [0.8691, 0.8691, 0.8691]]}

No. 3
{"formula": "Ce2Ga3Cu4Pd", "functional": "PBE", "state": "optimized geometry", "sg": "P-4m2, No. 115", "energy_ev_per_cell": -46.28, "lattice_angstrom": [[4.1671, 0.0000, 0.0000], [0.0000, 4.1671, 0.0000], [0.0000, 0.0000, 10.3044]], "species": ["Ce", "Ce", "Ga", "Ga", "Ga", "Cu", "Cu", "Cu", "Cu", "Pd"], "fractional_positions": [[0.0000, 0.5000, 0.2493], [0.5000, 0.0000, 0.7507], [0.0000, 0.5000, 0.8743], [0.5000, 0.0000, 0.1257], [0.5000, 0.5000, 0.5000], [0.0000, 0.0000, 0.0000], [0.0000, 0.5000, 0.6412], [0.5000, 0.0000, 0.3588], [0.5000, 0.5000, 0.0000], [0.0000, 0.0000, 0.5000]]}

No. 4
{"formula": "CeGa2CuPd5", "functional": "PBE", "state": "optimized geometry", "sg": "P4/mmm, No. 123", "energy_ev_per_cell": -45.98, "lattice_angstrom": [[4.0798, 0.0000, 0.0000], [0.0000, 4.0798, 0.0000], [0.0000, 0.0000, 9.5577]], "species": ["Ce", "Ga", "Ga", "Cu", "Pd", "Pd", "Pd", "Pd", "Pd"], "fractional_positions": [[0.0000, 0.0000, 0.0000], [0.5000, 0.5000, 0.3750], [0.5000, 0.5000, 0.6250], [0.0000, 0.0000, 0.5000], [0.0000, 0.5000, 0.2226], [0.0000, 0.5000, 0.7774], [0.5000, 0.0000, 0.2226], [0.5000, 0.0000, 0.7774], [0.5000, 0.5000, 0.0000]]}

| no. | total magnetic moment (μB per atom) |
| --- | --- |
| 1 | 0.18 |
| 2 | 0.07 |
| 3 | 0.14 |
| 4 | 0.03 |